No. 1
## Co2SbH (PBE)

Data for an optimized crystal structure of Co2SbH. Values from VASP.

Structure (Quantum ESPRESSO input):
```
&SYSTEM
  ibrav = 0, nat = 8, ntyp = 3
/
ATOMIC_SPECIES
Co 58.93 Co.upf
Sb 121.76 Sb.upf
H 1.01 H.upf
CELL_PARAMETERS angstrom
-2.4285 2.4285 4.0125
2.4285 -2.4285 4.0125
2.4285 2.4285 -4.0125
ATOMIC_POSITIONS crystal
Co 0.3750 0.2128 0.3378
Co 0.7872 0.1250 0.1622
Co 0.8750 0.0372 0.6622
Co 0.9628 0.6250 0.8378
Sb 0.2500 0.7500 0.5000
Sb 0.5000 0.5000 0.0000
H 0.0000 0.0000 0.0000
H 0.7500 0.2500 0.5000
```

Values from the calculation:
- distance to the lowest polymorph of the same formula (meV per atom) = 0
- mass density (Mg/m³) = 8.44
- total energy (eV per cell) = -42.16
- crystal system = tetragonal

No. 2
## Co2SbH (PBE)

Data for an optimized crystal structure of Co2SbH. Values from VASP.

Structure (Quantum ESPRESSO input):
```
&SYSTEM
  ibrav = 0, nat = 4, ntyp = 3
/
ATOMIC_SPECIES
Co 58.93 Co.upf
Sb 121.76 Sb.upf
H 1.01 H.upf
CELL_PARAMETERS angstrom
0.0000 2.8846 2.8846
2.8846 0.0000 2.8846
2.8846 2.8846 0.0000
ATOMIC_POSITIONS crystal
Co 0.2500 0.2500 0.2500
Co 0.7500 0.7500 0.7500
Sb 0.0000 0.0000 0.0000
H 0.5000 0.5000 0.5000
```

Values from the calculation:
- distance to the lowest polymorph of the same formula (meV per atom) = 352
- mass density (Mg/m³) = 8.32
- total energy (eV per cell) = -19.67
- crystal system = cubic

No. 3
## CoSb2H (PBE)

Data for an optimized crystal structure of CoSb2H. Values from VASP.

Structure (Quantum ESPRESSO input):
```
&SYSTEM
  ibrav = 0, nat = 8, ntyp = 3
/
ATOMIC_SPECIES
Co 58.93 Co.upf
Sb 121.76 Sb.upf
H 1.01 H.upf
CELL_PARAMETERS angstrom
-2.5160 2.5160 6.1832
2.5160 -2.5160 6.1832
2.5160 2.5160 -6.1832
ATOMIC_POSITIONS crystal
Co 0.0000 0.0000 0.0000
Co 0.7500 0.2500 0.5000
Sb 0.1425 0.6250 0.0175
Sb 0.3750 0.3925 0.5175
Sb 0.6075 0.1250 0.9825
Sb 0.8750 0.8575 0.4825
H 0.2500 0.7500 0.5000
H 0.5000 0.5000 0.0000
```

Values from the calculation:
- distance to the lowest polymorph of the same formula (meV per atom) = 130
- mass density (Mg/m³) = 6.44
- total energy (eV per cell) = -33.53
- crystal system = tetragonal

No. 4
## CoSb2H (PBE)

Data for an optimized crystal structure of CoSb2H. Values from VASP.

Structure (Quantum ESPRESSO input):
```
&SYSTEM
  ibrav = 0, nat = 4, ntyp = 3
/
ATOMIC_SPECIES
Co 58.93 Co.upf
Sb 121.76 Sb.upf
H 1.01 H.upf
CELL_PARAMETERS angstrom
0.0000 3.1286 3.1286
3.1286 0.0000 3.1286
3.1286 3.1286 0.0000
ATOMIC_POSITIONS crystal
Co 0.0000 0.0000 0.0000
Sb 0.2500 0.2500 0.2500
Sb 0.7500 0.7500 0.7500
H 0.5000 0.5000 0.5000
```

Values from the calculation:
- distance to the lowest polymorph of the same formula (meV per atom) = 0
- mass density (Mg/m³) = 8.23
- total energy (eV per cell) = -17.28
- crystal system = cubic

No. 5
## CoSbH2 (PBE)

Data for an optimized crystal structure of CoSbH2. Values from VASP.

Structure (Quantum ESPRESSO input):
```
&SYSTEM
  ibrav = 0, nat = 4, ntyp = 3
/
ATOMIC_SPECIES
Co 58.93 Co.upf
Sb 121.76 Sb.upf
H 1.01 H.upf
CELL_PARAMETERS angstrom
0.0000 2.7421 2.7421
2.7421 0.0000 2.7421
2.7421 2.7421 0.0000
ATOMIC_POSITIONS crystal
Co 0.0000 0.0000 0.0000
Sb 0.5000 0.5000 0.5000
H 0.2500 0.2500 0.2500
H 0.7500 0.7500 0.7500
```

Values from the calculation:
- distance to the lowest polymorph of the same formula (meV per atom) = 742
- mass density (Mg/m³) = 7.36
- total energy (eV per cell) = -14.49
- crystal system = cubic

No. 6
## Co2SbH (PBE)

Data for an optimized crystal structure of Co2SbH. Values from VASP.

Structure (Quantum ESPRESSO input):
```
&SYSTEM
  ibrav = 0, nat = 4, ntyp = 3
/
ATOMIC_SPECIES
Co 58.93 Co.upf
Sb 121.76 Sb.upf
H 1.01 H.upf
CELL_PARAMETERS angstrom
2.2262 1.2853 2.8584
-2.2262 1.2853 2.8584
0.0000 -2.5706 2.8584
ATOMIC_POSITIONS crystal
Co 0.1863 0.1863 0.1863
Co 0.8137 0.8137 0.8137
Sb 0.5000 0.5000 0.5000
H 0.0000 0.0000 0.0000
```

Values from the calculation:
- distance to the lowest polymorph of the same formula (meV per atom) = 201
- mass density (Mg/m³) = 8.14
- total energy (eV per cell) = -20.28
- crystal system = trigonal

No. 7
## CoSbH3 (PBE)

Data for an optimized crystal structure of CoSbH3. Values from VASP.

Structure (Quantum ESPRESSO input):
```
&SYSTEM
  ibrav = 0, nat = 5, ntyp = 3
/
ATOMIC_SPECIES
Co 58.93 Co.upf
Sb 121.76 Sb.upf
H 1.01 H.upf
CELL_PARAMETERS angstrom
3.9452 0.0000 0.0000
0.0000 3.9452 0.0000
0.0000 0.0000 3.9452
ATOMIC_POSITIONS crystal
Co 0.0000 0.0000 0.0000
Sb 0.5000 0.5000 0.5000
H 0.0000 0.5000 0.5000
H 0.5000 0.0000 0.5000
H 0.5000 0.5000 0.0000
```

Values from the calculation:
- distance to the lowest polymorph of the same formula (meV per atom) = 752
- mass density (Mg/m³) = 4.97
- total energy (eV per cell) = -15.67
- crystal system = cubic

No. 8
## Sc2CoSbH (PBE)

Data for an optimized crystal structure of Sc2CoSbH. Values from VASP.

Structure (Quantum ESPRESSO input):
```
&SYSTEM
  ibrav = 0, nat = 5, ntyp = 4
/
ATOMIC_SPECIES
Sc 44.96 Sc.upf
Co 58.93 Co.upf
Sb 121.76 Sb.upf
H 1.01 H.upf
CELL_PARAMETERS angstrom
4.4609 0.0000 0.0000
0.0000 4.4609 0.0000
0.0000 0.0000 3.8248
ATOMIC_POSITIONS crystal
Sc 0.0000 0.5000 0.0000
Sc 0.5000 0.0000 0.0000
Co 0.0000 0.0000 0.5000
Sb 0.5000 0.5000 0.5000
H 0.0000 0.0000 0.0000
```

Values from the calculation:
- mass density (Mg/m³) = 5.93
- total energy (eV per cell) = -29.65
- crystal system = tetragonal

No. 9
## Sr2CoSb2H4 (PBE)

Data for an optimized crystal structure of Sr2CoSb2H4. Values from VASP.

Structure (Quantum ESPRESSO input):
```
&SYSTEM
  ibrav = 0, nat = 9, ntyp = 4
/
ATOMIC_SPECIES
Sr 87.62 Sr.upf
Co 58.93 Co.upf
Sb 121.76 Sb.upf
H 1.01 H.upf
CELL_PARAMETERS angstrom
-3.2229 3.2229 3.9795
3.2229 -3.2229 3.9795
3.2229 3.2229 -3.9795
ATOMIC_POSITIONS crystal
Sr 0.2500 0.7500 0.5000
Sr 0.7500 0.2500 0.5000
Co 0.0000 0.0000 0.0000
Sb 0.3239 0.3239 0.0000
Sb 0.6761 0.6761 0.0000
H 0.1725 0.1725 0.3449
H 0.1725 0.8275 0.0000
H 0.8275 0.1725 0.0000
H 0.8275 0.8275 0.6551
```

Values from the calculation:
- mass density (Mg/m³) = 4.84
- total energy (eV per cell) = -33.58
- crystal system = tetragonal

No. 10
## Co2TcSbH (PBE)

Data for an optimized crystal structure of Co2TcSbH. Values from VASP.

Structure (Quantum ESPRESSO input):
```
&SYSTEM
  ibrav = 0, nat = 5, ntyp = 4
/
ATOMIC_SPECIES
Co 58.93 Co.upf
Tc 98.00 Tc.upf
Sb 121.76 Sb.upf
H 1.01 H.upf
CELL_PARAMETERS angstrom
3.8173 0.0000 0.0000
0.0000 3.8173 0.0000
0.0000 0.0000 3.9145
ATOMIC_POSITIONS crystal
Co 0.0000 0.5000 0.0000
Co 0.5000 0.0000 0.0000
Tc 0.0000 0.0000 0.5000
Sb 0.5000 0.5000 0.5000
H 0.0000 0.0000 0.0000
```

Values from the calculation:
- mass density (Mg/m³) = 9.86
- total energy (eV per cell) = -31.59
- crystal system = tetragonal

No. 11
## CoSbTe2H (PBE)

Data for an optimized crystal structure of CoSbTe2H. Values from VASP.

Structure (Quantum ESPRESSO input):
```
&SYSTEM
  ibrav = 0, nat = 5, ntyp = 4
/
ATOMIC_SPECIES
Co 58.93 Co.upf
Sb 121.76 Sb.upf
Te 127.60 Te.upf
H 1.01 H.upf
CELL_PARAMETERS angstrom
5.0585 0.0000 0.0000
0.0000 5.0585 0.0000
0.0000 0.0000 3.8748
ATOMIC_POSITIONS crystal
Co 0.0000 0.0000 0.0000
Sb 0.5000 0.5000 0.0000
Te 0.0000 0.5000 0.5000
Te 0.5000 0.0000 0.5000
H 0.5000 0.5000 0.5000
```

Values from the calculation:
- distance to the lowest polymorph of the same formula (meV per atom) = 35
- mass density (Mg/m³) = 7.32
- total energy (eV per cell) = -16.85
- crystal system = tetragonal

No. 12
## CoSbTe2H (PBE)

Data for an optimized crystal structure of CoSbTe2H. Values from VASP.

Structure (Quantum ESPRESSO input):
```
&SYSTEM
  ibrav = 0, nat = 5, ntyp = 4
/
ATOMIC_SPECIES
Co 58.93 Co.upf
Sb 121.76 Sb.upf
Te 127.60 Te.upf
H 1.01 H.upf
CELL_PARAMETERS angstrom
5.1407 0.0000 0.0000
0.0000 5.1407 0.0000
0.0000 0.0000 4.8260
ATOMIC_POSITIONS crystal
Co 0.0000 0.0000 0.0000
Sb 0.0000 0.0000 0.5000
Te 0.0000 0.5000 0.0000
Te 0.5000 0.0000 0.0000
H 0.5000 0.5000 0.5000
```

Values from the calculation:
- distance to the lowest polymorph of the same formula (meV per atom) = 0
- mass density (Mg/m³) = 5.69
- total energy (eV per cell) = -17.03
- crystal system = tetragonal

No. 13
## TiCo2SbH (PBE)

Data for an optimized crystal structure of TiCo2SbH. Values from VASP.

Structure (Quantum ESPRESSO input):
```
&SYSTEM
  ibrav = 0, nat = 5, ntyp = 4
/
ATOMIC_SPECIES
Ti 47.87 Ti.upf
Co 58.93 Co.upf
Sb 121.76 Sb.upf
H 1.01 H.upf
CELL_PARAMETERS angstrom
3.8867 0.0000 0.0000
0.0000 3.8867 0.0000
0.0000 0.0000 3.8807
ATOMIC_POSITIONS crystal
Ti 0.0000 0.0000 0.0000
Co 0.0000 0.5000 0.5000
Co 0.5000 0.0000 0.5000
Sb 0.5000 0.5000 0.0000
H 0.0000 0.0000 0.5000
```

Values from the calculation:
- mass density (Mg/m³) = 8.17
- total energy (eV per cell) = -30.61
- crystal system = tetragonal

No. 14
## VCo2SbH (PBE)

Data for an optimized crystal structure of VCo2SbH. Values from VASP.

Structure (Quantum ESPRESSO input):
```
&SYSTEM
  ibrav = 0, nat = 5, ntyp = 4
/
ATOMIC_SPECIES
V 50.94 V.upf
Co 58.93 Co.upf
Sb 121.76 Sb.upf
H 1.01 H.upf
CELL_PARAMETERS angstrom
3.8287 0.0000 0.0000
0.0000 3.8287 0.0000
0.0000 0.0000 3.8308
ATOMIC_POSITIONS crystal
V 0.0000 0.0000 0.0000
Co 0.0000 0.5000 0.5000
Co 0.5000 0.0000 0.5000
Sb 0.5000 0.5000 0.0000
H 0.0000 0.0000 0.5000
```

Values from the calculation:
- mass density (Mg/m³) = 8.62
- total energy (eV per cell) = -30.95
- crystal system = tetragonal